(1)
First-principles (GGA-PBE) data for a relaxed Cs2K5Rb5 crystal, as listed in Alexandria.

Cell lengths 7.1111, 11.0636, 14.7671 Å; angles 72.62, 76.07, 71.25 degrees
Fractional coordinates of all 12 atoms:
Rb: 0.0000 0.0000 0.0000
Rb: 0.7553 0.2455 0.2438
Rb: 0.2447 0.7545 0.7562
Rb: 0.8320 0.8373 0.4988
Rb: 0.1680 0.1627 0.5012
Cs: 0.0836 0.5854 0.2474
Cs: 0.9164 0.4146 0.7526
K: 0.5853 0.0775 0.7519
K: 0.5000 0.5000 0.5000
K: 0.6646 0.6722 0.9986
K: 0.4147 0.9225 0.2481
K: 0.3354 0.3278 0.0014

formation energy from the elements: 0.006 eV per atom

***

(2)
First-principles (GGA-PBE) data for a relaxed RbCdSi2Os crystal, as listed in Alexandria.

Cell lengths 5.1342, 5.3038, 5.1342 Å; angles 90.00, 90.00, 90.00 degrees
Fractional coordinates of all 5 atoms:
Si: 0.0000 0.0000 0.5000
Si: 0.5000 0.0000 0.0000
Rb: 0.5000 0.5000 0.5000
Os: 0.0000 0.5000 0.0000
Cd: 0.0000 0.0000 0.0000

uncorrected formation energy: 8.230 eV/f.u.

***

(3)
First-principles (GGA-PBE) data for a relaxed Ca4MgCd crystal, as listed in Alexandria.

Cell lengths 6.8324, 6.8324, 6.8324 Å; angles 60.00, 60.00, 60.00 degrees
Fractional coordinates of all 6 atoms:
Cd: 0.7500 0.7500 0.7500
Ca: 0.3750 0.3750 0.8750
Ca: 0.3750 0.8750 0.3750
Ca: 0.3750 0.3750 0.3750
Ca: 0.8750 0.3750 0.3750
Mg: 0.0000 0.0000 0.0000

E above lowest polymorph: 2.56 eV/f.u.
formation energy from the elements: 0.276 eV per atom

***

(4)
First-principles (GGA-PBE) data for a relaxed NaIn3Si crystal, as listed in Alexandria.

Cell lengths 5.3721, 5.3721, 5.3721 Å; angles 90.00, 90.00, 90.00 degrees
Fractional coordinates of all 5 atoms:
In: 0.0000 0.5000 0.0000
In: 0.0000 0.0000 0.5000
In: 0.5000 0.0000 0.0000
Si: 0.0000 0.0000 0.0000
Na: 0.5000 0.5000 0.5000

E above lowest polymorph: 0.00 eV/f.u.
uncorrected formation energy: 1.434 eV/f.u.

***

(5)
First-principles (GGA-PBE) data for a relaxed Cs4SrI5 crystal, as listed in Alexandria.

Cell lengths 8.2517, 9.3976, 9.3976 Å; angles 78.89, 63.96, 63.96 degrees
Fractional coordinates of all 10 atoms:
Sr: 0.9925 0.0000 0.0000
I: 0.9242 0.3628 0.8138
I: 0.1009 0.6372 0.1862
I: 0.2870 0.8138 0.6372
I: 0.7380 0.1862 0.3628
I: 0.3863 0.0000 0.0000
Cs: 0.8118 0.7990 0.6182
Cs: 0.2289 0.2010 0.3818
Cs: 0.6107 0.6182 0.2010
Cs: 0.4299 0.3818 0.7990

uncorrected formation energy: -14.192 eV/f.u.

***

(6)
First-principles (GGA-PBE) data for a relaxed Zn3AsN4 crystal, as listed in Alexandria.

Cell lengths 4.5718, 4.5718, 5.6028 Å; angles 114.08, 114.08, 90.00 degrees
Fractional coordinates of all 8 atoms:
N: 0.8866 0.8866 0.2343
N: 0.6523 0.1134 0.7657
N: 0.1134 0.6523 0.7657
N: 0.3477 0.3477 0.2343
As: 0.0000 0.0000 0.0000
Zn: 0.2500 0.7500 0.5000
Zn: 0.5000 0.5000 0.0000
Zn: 0.7500 0.2500 0.5000

uncorrected formation energy: 1.268 eV/f.u.

***

| no. | M_tot (μB/atom) |
| --- | --- |
| 1 | 0.00 |
| 2 | 0.38 |
| 3 | 0.00 |
| 4 | 0.00 |
| 5 | 0.05 |
| 6 | 0.04 |